No. 1
Below is a relaxed Pm3SmIn2 crystal, with properties calculated at the PBE level.

a = 16.8531 Å, b = 5.4151 Å, c = 9.5043 Å
α = 90.00°, β = 121.54°, γ = 90.00°
Space group C2/m (No. 12)
Inequivalent atoms, fractional coordinates:
1 Pm 0.0572 0.0000 0.2137 [4 per cell]
2 Pm 0.1187 0.5000 0.0493 [4 per cell]
3 Pm 0.1934 0.5000 0.5007 [4 per cell]
4 Sm 0.1289 0.0000 0.6717 [4 per cell]
5 In 0.0222 0.5000 0.6677 [4 per cell]
6 In 0.2311 0.0000 0.0907 [4 per cell]

Results
Excess energy over the best structure of this formula in the dataset, eV per atom: 0.1095
E_form, eV per formula unit: -1.5
E_tot, eV/atom: -4.32

=====

No. 2
Below is a relaxed CaScAl2 crystal, with properties calculated at the PBE level.

a = 3.3598 Å, b = 3.3598 Å, c = 28.9888 Å
α = 90.00°, β = 90.00°, γ = 120.00°
Space group R-3m (No. 166, hexagonal axes)
Inequivalent atoms, fractional coordinates:
1 Ca 0.0000 0.0000 0.0000 [3 per cell]
2 Sc 0.0000 0.0000 0.5000 [3 per cell]
3 Al 0.0000 0.0000 0.2455 [6 per cell]

Results
Excess energy over the best structure of this formula in the dataset, eV per atom: 0.2503
E_form, eV per formula unit: -0.3
E_tot, eV/atom: -4.02

=====

No. 3
Below is a relaxed Na2Ga6Pd crystal, with properties calculated at the PBE level.

a = 9.6596 Å, b = 5.6031 Å, c = 6.3991 Å
α = 90.00°, β = 90.26°, γ = 90.00°
Space group C2/m (No. 12)
Inequivalent atoms, fractional coordinates:
1 Na 0.1667 0.0000 0.3996 [4 per cell]
2 Ga 0.0846 0.2474 0.8274 [8 per cell]
3 Ga 0.1683 0.5000 0.1739 [4 per cell]
4 Pd 0.0000 0.5000 0.5000 [2 per cell]

Results
Excess energy over the best structure of this formula in the dataset, eV per atom: 0.0000
E_form, eV per formula unit: -2.1
E_tot, eV/atom: -3.12

=====

No. 4
Below is a relaxed PaZn2Pt2 crystal, with properties calculated at the PBE level.

a = 3.8026 Å, b = 3.8026 Å, c = 12.8544 Å
α = 90.00°, β = 90.00°, γ = 90.00°
Space group I4/mmm (No. 139)
Inequivalent atoms, fractional coordinates:
1 Pa 0.0000 0.0000 0.0000 [2 per cell]
2 Zn 0.0000 0.5000 0.2500 [4 per cell]
3 Pt 0.0000 0.0000 0.3960 [4 per cell]

Results
Excess energy over the best structure of this formula in the dataset, eV per atom: 0.0000
E_form, eV per formula unit: -3.4
E_tot, eV/atom: -5.50

=====

No. 5
Below is a relaxed TaCoPt2 crystal, with properties calculated at the PBE level.

a = 2.7845 Å, b = 4.4611 Å, c = 4.8659 Å
α = 90.00°, β = 90.00°, γ = 90.00°
Space group Pmm2 (No. 25)
Inequivalent atoms, fractional coordinates:
1 Ta 0.0000 0.0000 0.0000 [1 per cell]
2 Co 0.0000 0.5000 0.6724 [1 per cell]
3 Pt 0.5000 0.0000 0.5212 [1 per cell]
4 Pt 0.5000 0.5000 0.1794 [1 per cell]

Results
Excess energy over the best structure of this formula in the dataset, eV per atom: 0.1890
E_form, eV per formula unit: -1.6
E_tot, eV/atom: -8.17

=====

No. 6
Below is a relaxed RbCa3Cu4Cl12 crystal, with properties calculated at the PBE level.

a = 14.0031 Å, b = 14.0031 Å, c = 10.5556 Å
α = 90.00°, β = 90.00°, γ = 120.00°
Space group R32 (No. 155, hexagonal axes)
Inequivalent atoms, fractional coordinates:
1 Rb 0.0000 0.0000 0.0000 [3 per cell]
2 Ca 0.0000 0.5615 0.0000 [9 per cell]
3 Cu 0.0000 0.0000 0.5000 [3 per cell]
4 Cu 0.0000 0.4276 0.5000 [9 per cell]
5 Cl 0.0000 0.5930 0.5000 [9 per cell]
6 Cl 0.0000 0.8407 0.5000 [9 per cell]
7 Cl 0.0433 0.2081 0.1930 [18 per cell]

Results
E_form (uncorrected), eV per atom: -1.468
E_tot, eV/atom: -3.74

=====

No. 7
Below is a relaxed CsTl2S2 crystal, with properties calculated at the PBE level.

a = 7.7304 Å, b = 13.7195 Å, c = 7.6210 Å
α = 90.00°, β = 119.36°, γ = 90.00°
Space group C2/m (No. 12)
Inequivalent atoms, fractional coordinates:
1 Cs 0.0000 0.1970 0.0000 [4 per cell]
2 Tl 0.0000 0.1305 0.5000 [4 per cell]
3 Tl 0.0115 0.5000 0.7386 [4 per cell]
4 S 0.0000 0.3347 0.5000 [4 per cell]
5 S 0.2002 0.0000 0.8588 [4 per cell]

Results
E_form (uncorrected), eV per atom: -0.456
Excess energy over the best structure of this formula in the dataset, eV per atom: 0.0628
E_tot, eV/atom: -3.22

=====

No. 8
Below is a relaxed NdDyHo2Tl2 crystal, with properties calculated at the PBE level.

a = 5.1196 Å, b = 10.0552 Å, c = 6.8455 Å
α = 90.00°, β = 90.00°, γ = 90.00°
Space group Pmc2_1 (No. 26)
Inequivalent atoms, fractional coordinates:
1 Nd 0.0000 0.0434 0.0000 [2 per cell]
2 Dy 0.5000 0.1921 0.7229 [2 per cell]
3 Ho 0.0000 0.3177 0.3820 [2 per cell]
4 Ho 0.5000 0.4556 0.0965 [2 per cell]
5 Tl 0.0000 0.3693 0.8419 [2 per cell]
6 Tl 0.5000 0.1386 0.2630 [2 per cell]

Results
E_form, eV per formula unit: -1.6
E_tot, eV/atom: -4.14

=====

No. 9
Below is a relaxed Sm4Y10Sc crystal, with properties calculated at the PBE level.

a = 11.4575 Å, b = 11.4575 Å, c = 7.6139 Å
α = 90.00°, β = 90.00°, γ = 90.00°
Space group I4/mmm (No. 139)
Inequivalent atoms, fractional coordinates:
1 Sm 0.2327 0.2327 0.0000 [8 per cell]
2 Y 0.0000 0.2087 0.2820 [16 per cell]
3 Y 0.0000 0.5000 0.2500 [4 per cell]
4 Sc 0.0000 0.0000 0.0000 [2 per cell]

Results
E_form, eV per formula unit: 3.9
E_tot, eV/atom: -5.73

=====

No. 10
Below is a relaxed TlMoSe2 crystal, with properties calculated at the PBE level.

a = 3.2943 Å, b = 5.8862 Å, c = 9.8331 Å
α = 90.00°, β = 90.00°, γ = 90.00°
Space group Cmmm (No. 65)
Inequivalent atoms, fractional coordinates:
1 Tl 0.0000 0.0000 0.0000 [2 per cell]
2 Mo 0.0000 0.0000 0.5000 [2 per cell]
3 Se 0.0000 0.5000 0.3075 [4 per cell]

Results
E_form (uncorrected), eV per atom: 0.144
E_tot, eV/atom: -4.90

=====

No. 11
Below is a relaxed Ac5Sm2Sn5 crystal, with properties calculated at the PBE level.

a = 15.7010 Å, b = 4.7131 Å, c = 13.5057 Å
α = 90.00°, β = 109.50°, γ = 90.00°
Space group C2/m (No. 12)
Inequivalent atoms, fractional coordinates:
1 Ac 0.0000 0.0000 0.0000 [2 per cell]
2 Ac 0.1610 0.0000 0.5441 [4 per cell]
3 Ac 0.2355 0.0000 0.8499 [4 per cell]
4 Sm 0.0478 0.5000 0.2911 [4 per cell]
5 Sn 0.0000 0.5000 0.5000 [2 per cell]
6 Sn 0.1117 0.5000 0.9153 [4 per cell]
7 Sn 0.1840 0.0000 0.2923 [4 per cell]

Results
E_form, eV per formula unit: -6.5
E_tot, eV/atom: -4.71

=====

No. 12
Below is a relaxed HoZrIrAu crystal, with properties calculated at the PBE level.

a = 6.8629 Å, b = 6.8629 Å, c = 6.8629 Å
α = 90.00°, β = 90.00°, γ = 90.00°
Space group F-43m (No. 216)
Inequivalent atoms, fractional coordinates:
1 Ho 0.0000 0.0000 0.0000 [4 per cell]
2 Zr 0.0000 0.0000 0.5000 [4 per cell]
3 Ir 0.2500 0.2500 0.7500 [4 per cell]
4 Au 0.2500 0.2500 0.2500 [4 per cell]

Results
E_form, eV per formula unit: -2.8
E_tot, eV/atom: -7.01